A relaxed structure of BaCrTc2. Source: Alexandria via LeMat-Bulk, functional PBEsol.

As for the formation energy: 1.398 eV/atom.

The space group is Pmmm (No. 47) and the conventional cell measures 3.079, 4.647 and 4.951 Å, with angles of 90.00, 90.00 and 90.00 degrees. The asymmetric unit holds Ba at (0.000, 0.000, 0.000), Cr at (0.500, 0.000, 0.500), Tc at (0.000, 0.500, 0.500) and Tc at (0.500, 0.500, 0.000).


A relaxed structure of BaInCoBr2. Source: Alexandria via LeMat-Bulk, functional PBEsol.

The calculation puts the energy at -16.21 eV/cell.

The space group is P4/mmm (No. 123) and the conventional cell measures 6.091, 6.091 and 5.919 Å, with angles of 90.00, 90.00 and 90.00 degrees. The asymmetric unit holds Ba at (0.000, 0.000, 0.000), In at (0.500, 0.500, 0.500), Co at (0.000, 0.000, 0.500) and Br at (0.000, 0.500, 0.000).


The following Fermi-level density of states values (in states/eV/cell) correspond, in order, to the records above: 5.35, 3.70.
The following M_tot values (in μB per formula unit) correspond, in order, to the records above: 1.9, 2.0.